This record from the Alexandria database describes Ho6Sc3In after structural relaxation. The functional is PBE.

```
data_Ho6Sc3In
_symmetry_space_group_name_H-M 'P 1 21/m 1'
_symmetry_Int_Tables_number 11
_cell_length_a 12.3897
_cell_length_b 3.3853
_cell_length_c 13.6856
_cell_angle_alpha 90.00
_cell_angle_beta 100.12
_cell_angle_gamma 90.00
loop_
_symmetry_equiv_pos_as_xyz
'x,y,z'
'-x,-y,-z'
'-x,y+1/2,-z'
'x,-y+1/2,z'
loop_
_atom_site_label
_atom_site_type_symbol
_atom_site_fract_x
_atom_site_fract_y
_atom_site_fract_z
_atom_site_occupancy
Ho1 Ho 0.0080 0.2500 0.3118 1
Ho2 Ho 0.1559 0.2500 0.8845 1
Ho3 Ho 0.2446 0.7500 0.3048 1
Ho4 Ho 0.2755 0.7500 0.7156 1
Ho5 Ho 0.3107 0.7500 0.0773 1
Ho6 Ho 0.3804 0.2500 0.5272 1
Sc1 Sc 0.0772 0.2500 0.0956 1
Sc2 Sc 0.1272 0.7500 0.5023 1
Sc3 Sc 0.4266 0.2500 0.9005 1
In1 In 0.4669 0.2500 0.2777 1
```

theoretical density	7.3	g cm⁻³
VASP energy	-4.92	eV/atom
E_form	0.000	eV/atom

This record from the Alexandria database describes Ho2Sc2In after structural relaxation. The functional is PBE.

```
data_Ho2Sc2In
_symmetry_space_group_name_H-M 'P 4/m b m'
_symmetry_Int_Tables_number 127
_symmetry_space_group_name_Hall '-P 4 2ab'
_cell_length_a 8.3756
_cell_length_b 8.3756
_cell_length_c 3.8437
_cell_angle_alpha 90.00
_cell_angle_beta 90.00
_cell_angle_gamma 90.00
loop_
_atom_site_label
_atom_site_type_symbol
_atom_site_fract_x
_atom_site_fract_y
_atom_site_fract_z
_atom_site_occupancy
Ho1 Ho 0.1433 0.3567 0.0000 1
Sc1 Sc 0.1578 0.6578 0.5000 1
In1 In 0.0000 0.0000 0.0000 1
```

offset from the most stable computed form	0.164	eV/atom
theoretical density	6.6	g cm⁻³
VASP energy	-4.81	eV/atom
E_form	0.100	eV/atom

This record from the Alexandria database describes HoScIn after structural relaxation. The functional is PBE.

```
data_HoScIn
_symmetry_space_group_name_H-M 'P 3 m 1'
_symmetry_Int_Tables_number 156
_cell_length_a 5.1955
_cell_length_b 5.1955
_cell_length_c 3.1655
_cell_angle_alpha 90.00
_cell_angle_beta 90.00
_cell_angle_gamma 120.00
loop_
_symmetry_equiv_pos_as_xyz
'x,y,z'
'-y,x-y,z'
'-x+y,-x,z'
'-y,-x,z'
'-x+y,y,z'
'x,x-y,z'
loop_
_atom_site_label
_atom_site_type_symbol
_atom_site_fract_x
_atom_site_fract_y
_atom_site_fract_z
_atom_site_occupancy
Ho1 Ho 0.0000 0.0000 0.0000 1
Sc1 Sc 0.6667 0.3333 0.0026 1
In1 In 0.3333 0.6667 0.5014 1
```

offset from the most stable computed form	0.291	eV/atom
theoretical density	7.3	g cm⁻³
VASP energy	-4.63	eV/atom
E_form	-0.078	eV/atom

This record from the Alexandria database describes HoScIn after structural relaxation. The functional is PBE.

```
data_HoScIn
_symmetry_space_group_name_H-M 'I 4 m m'
_symmetry_Int_Tables_number 107
_symmetry_space_group_name_Hall 'I 4 -2'
_cell_length_a 3.4133
_cell_length_b 3.4133
_cell_length_c 13.2545
_cell_angle_alpha 90.00
_cell_angle_beta 90.00
_cell_angle_gamma 90.00
loop_
_atom_site_label
_atom_site_type_symbol
_atom_site_fract_x
_atom_site_fract_y
_atom_site_fract_z
_atom_site_occupancy
Ho1 Ho 0.0000 0.0000 0.0000 1
Sc1 Sc 0.0000 0.0000 0.6812 1
In1 In 0.0000 0.0000 0.3308 1
```

offset from the most stable computed form	0.068	eV/atom
theoretical density	7.0	g cm⁻³
VASP energy	-4.85	eV/atom
E_form	-0.301	eV/atom

This record from the Alexandria database describes Ho5Sc2In4 after structural relaxation. The functional is PBE.

```
data_Ho5Sc2In4
_symmetry_space_group_name_H-M 'I m m m'
_symmetry_Int_Tables_number 71
_symmetry_space_group_name_Hall '-I 2 2'
_cell_length_a 3.3204
_cell_length_b 10.5448
_cell_length_c 18.3250
_cell_angle_alpha 90.00
_cell_angle_beta 90.00
_cell_angle_gamma 90.00
loop_
_atom_site_label
_atom_site_type_symbol
_atom_site_fract_x
_atom_site_fract_y
_atom_site_fract_z
_atom_site_occupancy
Ho1 Ho 0.0000 0.0000 0.0000 1
Ho2 Ho 0.0000 0.2280 0.3297 1
Sc1 Sc 0.0000 0.5000 0.2624 1
In1 In 0.0000 0.2235 0.5000 1
In2 In 0.0000 0.5000 0.0912 1
```

theoretical density	7.1	g cm⁻³
VASP energy	-4.17	eV/atom
E_form	0.053	eV/atom

This record from the Alexandria database describes HoSc12In3 after structural relaxation. The functional is PBE.

```
data_HoSc12In3
_symmetry_space_group_name_H-M 'P 4/m m m'
_symmetry_Int_Tables_number 123
_symmetry_space_group_name_Hall '-P 4 2'
_cell_length_a 4.5435
_cell_length_b 4.5435
_cell_length_c 18.4879
_cell_angle_alpha 90.00
_cell_angle_beta 90.00
_cell_angle_gamma 90.00
loop_
_atom_site_label
_atom_site_type_symbol
_atom_site_fract_x
_atom_site_fract_y
_atom_site_fract_z
_atom_site_occupancy
Ho1 Ho 0.0000 0.0000 0.0000 1
Sc1 Sc 0.0000 0.5000 0.1323 1
Sc2 Sc 0.0000 0.5000 0.3778 1
Sc3 Sc 0.5000 0.5000 0.0000 1
Sc4 Sc 0.5000 0.5000 0.2570 1
Sc5 Sc 0.5000 0.5000 0.5000 1
In1 In 0.0000 0.0000 0.2560 1
In2 In 0.0000 0.0000 0.5000 1
```

theoretical density	4.6	g cm⁻³
VASP energy	-5.74	eV/atom
E_form	-0.190	eV/atom

This record from the Alexandria database describes Ho5ScIn6 after structural relaxation. The functional is PBE.

```
data_Ho5ScIn6
_symmetry_space_group_name_H-M 'I m m m'
_symmetry_Int_Tables_number 71
_symmetry_space_group_name_Hall '-I 2 2'
_cell_length_a 5.2613
_cell_length_b 7.3920
_cell_length_c 15.8061
_cell_angle_alpha 90.00
_cell_angle_beta 90.00
_cell_angle_gamma 90.00
loop_
_atom_site_label
_atom_site_type_symbol
_atom_site_fract_x
_atom_site_fract_y
_atom_site_fract_z
_atom_site_occupancy
Ho1 Ho 0.0000 0.0000 0.0000 1
Ho2 Ho 0.0000 0.0000 0.3293 1
Ho3 Ho 0.0000 0.5000 0.3350 1
Sc1 Sc 0.0000 0.5000 0.0000 1
In1 In 0.0000 0.2372 0.5000 1
In2 In 0.0000 0.2566 0.1630 1
```

theoretical density	8.4	g cm⁻³
VASP energy	-4.25	eV/atom
E_form	-0.443	eV/atom

This record from the Alexandria database describes Ho2Sc4In after structural relaxation. The functional is PBE.

```
data_Ho2Sc4In
_symmetry_space_group_name_H-M 'C m m m'
_symmetry_Int_Tables_number 65
_symmetry_space_group_name_Hall '-C 2 2'
_cell_length_a 5.9264
_cell_length_b 12.9389
_cell_length_c 5.3257
_cell_angle_alpha 90.00
_cell_angle_beta 90.00
_cell_angle_gamma 90.00
loop_
_atom_site_label
_atom_site_type_symbol
_atom_site_fract_x
_atom_site_fract_y
_atom_site_fract_z
_atom_site_occupancy
Ho1 Ho 0.0000 0.1273 0.0000 1
Sc1 Sc 0.0000 0.2656 0.5000 1
Sc2 Sc 0.0000 0.3734 0.0000 1
In1 In 0.0000 0.5000 0.5000 1
```

theoretical density	5.1	g cm⁻³
VASP energy	-4.83	eV/atom
E_form	0.483	eV/atom

This record from the Alexandria database describes Ho3Sc3In2 after structural relaxation. The functional is PBE.

```
data_Ho3Sc3In2
_symmetry_space_group_name_H-M 'P m m m'
_symmetry_Int_Tables_number 47
_cell_length_a 4.6703
_cell_length_b 4.6845
_cell_length_c 9.3357
_cell_angle_alpha 90.00
_cell_angle_beta 90.00
_cell_angle_gamma 90.00
loop_
_symmetry_equiv_pos_as_xyz
'x,y,z'
'-x,-y,-z'
'-x,-y,z'
'x,y,-z'
'x,-y,-z'
'-x,y,z'
'-x,y,-z'
'x,-y,z'
loop_
_atom_site_label
_atom_site_type_symbol
_atom_site_fract_x
_atom_site_fract_y
_atom_site_fract_z
_atom_site_occupancy
Ho1 Ho 0.0000 0.0000 0.0000 1
Ho2 Ho 0.0000 0.0000 0.5000 1
Ho3 Ho 0.5000 0.5000 0.0000 1
Sc1 Sc 0.5000 0.0000 0.2555 1
Sc2 Sc 0.5000 0.5000 0.5000 1
In1 In 0.0000 0.5000 0.2546 1
```

theoretical density	7.0	g cm⁻³
VASP energy	-5.03	eV/atom
E_form	-0.259	eV/atom

This record from the Alexandria database describes Ho2ScIn4 after structural relaxation. The functional is PBE.

```
data_Ho2ScIn4
_symmetry_space_group_name_H-M 'I 4/m m m'
_symmetry_Int_Tables_number 139
_symmetry_space_group_name_Hall '-I 4 2'
_cell_length_a 5.1221
_cell_length_b 5.1221
_cell_length_c 14.3533
_cell_angle_alpha 90.00
_cell_angle_beta 90.00
_cell_angle_gamma 90.00
loop_
_atom_site_label
_atom_site_type_symbol
_atom_site_fract_x
_atom_site_fract_y
_atom_site_fract_z
_atom_site_occupancy
Ho1 Ho 0.0000 0.0000 0.2479 1
Sc1 Sc 0.0000 0.0000 0.0000 1
In1 In 0.0000 0.5000 0.1093 1
```

offset from the most stable computed form	0.000	eV/atom
theoretical density	7.4	g cm⁻³
VASP energy	-4.10	eV/atom
E_form	-0.322	eV/atom

This record from the Alexandria database describes Ho3Sc2In after structural relaxation. The functional is PBE.

```
data_Ho3Sc2In
_symmetry_space_group_name_H-M 'C 1 2/c 1'
_symmetry_Int_Tables_number 15
_cell_length_a 6.4581
_cell_length_b 10.8099
_cell_length_c 9.4001
_cell_angle_alpha 90.00
_cell_angle_beta 91.70
_cell_angle_gamma 90.00
loop_
_symmetry_equiv_pos_as_xyz
'x,y,z'
'-x,-y,-z'
'-x,y,-z+1/2'
'x,-y,z+1/2'
'x+1/2,y+1/2,z'
'-x+1/2,-y+1/2,-z'
'-x+1/2,y+1/2,-z+1/2'
'x+1/2,-y+1/2,z+1/2'
loop_
_atom_site_label
_atom_site_type_symbol
_atom_site_fract_x
_atom_site_fract_y
_atom_site_fract_z
_atom_site_occupancy
Ho1 Ho 0.0000 0.1162 0.2500 1
Ho2 Ho 0.1639 0.1570 0.6162 1
Sc1 Sc 0.1673 0.3851 0.0500 1
In1 In 0.0000 0.4204 0.7500 1
```

offset from the most stable computed form	0.000	eV/atom
theoretical density	7.1	g cm⁻³
VASP energy	-4.99	eV/atom
E_form	-0.135	eV/atom